Record 1
SbO2, relaxed, DFT PBEsol; uncorrected energy = -6.307 eV/atom; crystal system = orthorhombic; uncorrected formation energy = -1.288 eV per atom; symmetry = Pmmn
1.0
5.876 0.000 0.000
0.000 6.467 0.000
0.000 0.000 12.734
O Sb
16 8
Direct
0.249 0.183 0.268
0.000 0.527 0.352
0.000 0.456 0.146
0.500 0.544 0.646
0.751 0.183 0.268
0.500 0.473 0.148
0.251 0.817 0.768
0.749 0.817 0.232
0.500 0.544 0.354
0.751 0.183 0.732
0.749 0.817 0.768
0.000 0.527 0.648
0.500 0.473 0.852
0.251 0.817 0.232
0.249 0.183 0.732
0.000 0.456 0.854
0.500 0.967 0.677
0.500 0.967 0.323
0.750 0.500 0.250
0.000 0.033 0.823
0.750 0.500 0.750
0.000 0.033 0.177
0.250 0.500 0.250
0.250 0.500 0.750

***

Record 2
Sc2SbO, relaxed, DFT PBEsol; uncorrected energy = -7.634 eV/atom; crystal system = tetragonal; uncorrected formation energy = -1.880 eV per atom; symmetry = I-42d
1.0
5.802 0.007 0.011
-2.155 5.387 -0.011
-2.155 -2.473 4.786
Sc O Sb
4 2 2
Direct
0.387 0.875 0.762
0.887 0.512 0.125
0.613 0.375 0.488
0.113 0.238 0.625
0.000 0.500 0.500
0.500 0.250 0.750
0.500 0.750 0.250
0.000 0.000 0.000